VASP calculation (PBE) on a relaxed AgIr2Pd2 crystal. Values from VASP.

Cell and atoms, written as Quantum ESPRESSO input:
```
&SYSTEM
  ibrav = 0, nat = 10, ntyp = 3
/
ATOMIC_SPECIES
Pd 106.42 Pd.upf
Ir 192.22 Ir.upf
Ag 107.87 Ag.upf
CELL_PARAMETERS angstrom
7.742 0.000 0.000
0.000 7.742 0.000
0.000 0.000 2.753
ATOMIC_POSITIONS crystal
Pd 0.682 0.818 0.500
Ir 0.616 0.116 0.000
Ir 0.384 0.884 0.000
Pd 0.818 0.318 0.500
Ir 0.116 0.384 0.000
Ag 0.500 0.500 0.000
Pd 0.182 0.682 0.500
Pd 0.318 0.182 0.500
Ag 0.000 0.000 0.000
Ir 0.884 0.616 0.000
```

Output
calculated density = 14.2 Mg/m³
calculated formation energy = 0.3567 eV/atom
space-group type = No. 127